(1)
Ce2TmZn2Ge2: relaxed, PBE-GGA.

POSCAR file:
```
Ce2TmZn2Ge2
1.0
-2.8983 -0.0134 -3.1670
-1.9609 -3.6573 -1.0997
-8.1911 0.4936 4.5843
Ge Zn Tm Ce
2 2 1 2
direct
0.2677 0.2677 0.1968
0.7323 0.7323 0.8032
0.4042 0.4042 0.7873
0.5958 0.5958 0.2127
0.0000 0.0000 0.0000
0.8590 0.8590 0.4231
0.1410 0.1410 0.5769
```

Summary:
As for the space-group type: R-3m, No. 166. Its crystal system is trigonal.

(2)
CeUGe2: relaxed, PBE-GGA.

POSCAR file:
```
CeUGe2
1.0
-1.2821 -3.5866 -1.6082
2.7483 -2.9380 -0.9534
-0.1214 -4.8119 5.5135
U Ge Ce
1 2 1
direct
0.0000 0.0000 0.0000
0.7466 0.7466 0.7603
0.2534 0.2534 0.2397
0.5000 0.5000 0.5000
```

Summary:
As for the space-group type: R-3m, No. 166. Its crystal system is trigonal.

(3)
Ce2UGe: relaxed, PBE-GGA.

POSCAR file:
```
Ce2UGe
1.0
4.4401 0.0000 0.0000
0.0000 4.5605 0.0000
0.0000 0.0000 4.5605
Ce Ge U
2 1 1
direct
0.0000 0.0000 0.5000
0.0000 0.5000 0.0000
0.5000 0.5000 0.5000
0.5000 0.0000 0.0000
```

Summary:
As for the space-group type: P4/mmm, No. 123. Its crystal system is tetragonal.

(4)
CeUGe2: relaxed, PBE-GGA.

POSCAR file:
```
CeUGe2
1.0
-2.5922 0.4520 -1.9896
-0.6966 -3.2196 0.1762
-4.7309 1.3781 6.4770
U Ce Ge
1 1 2
direct
0.5000 0.5000 0.0000
0.5000 0.5000 0.5000
0.0000 0.0000 0.7563
0.0000 0.0000 0.2437
```

Summary:
As for the space-group type: P4/mmm, No. 123. Its crystal system is tetragonal.

(5)
Ce3VGe5: relaxed, PBE-GGA.

POSCAR file:
```
Ce3VGe5
1.0
-4.8180 -3.0350 0.1861
0.3232 0.0197 8.6916
-4.1720 6.3647 -4.2111
Ge V Ce
10 2 6
direct
0.2500 0.2479 0.0000
0.0000 0.3333 0.6667
0.7500 0.7521 0.0000
0.2500 0.0000 0.2479
0.5000 0.6667 0.3333
0.2500 0.7521 0.7521
0.7500 0.0000 0.7521
0.7500 0.2479 0.2479
0.5000 0.3333 0.6667
0.0000 0.6667 0.3333
0.5000 0.0000 0.0000
0.0000 0.0000 0.0000
0.2500 0.0000 0.6148
0.2500 0.3852 0.3852
0.2500 0.6148 0.0000
0.7500 0.6148 0.6148
0.7500 0.0000 0.3852
0.7500 0.3852 0.0000
```

Summary:
As for the space-group type: P6_3/mcm, No. 193. Its crystal system is hexagonal.

(6)
CeVGe2: relaxed, PBE-GGA.

POSCAR file:
```
CeVGe2
1.0
-0.0597 2.8849 -1.7294
-2.7833 0.9288 1.6454
3.6452 2.8182 4.5752
Ce Ge V
1 2 1
direct
0.5000 0.5000 0.5000
0.0000 0.0000 0.8038
0.0000 0.0000 0.1962
0.5000 0.5000 0.0000
```

Summary:
As for the space-group type: P4/mmm, No. 123. Its crystal system is tetragonal.

| no. | spin magnetization (μB/cell) | formation enthalpy at 0 K (meV/atom) |
| --- | --- | --- |
| 1 | 1.74 | -394 |
| 2 | 1.94 | -315 |
| 3 | 3.82 | -199 |
| 4 | 3.29 | -366 |
| 5 | 0.00 | -664 |
| 6 | 0.59 | -308 |